PrZrUO6, relaxed, DFT PBE; symmetry = P-31c; total magnetic moment = 0.111 μB/atom; uncorrected energy = -168.1 eV/cell; raw formation energy = -3.2969 eV per atom; calculated density = 6.7 g cm⁻³
1.0
5.709 0.000 0.000
-2.855 4.944 0.000
0.000 0.000 9.958
Pr Zr U O
2 2 2 12
Direct
0.000 0.000 0.000
0.000 0.000 0.500
0.333 0.667 0.250
0.667 0.333 0.750
0.333 0.667 0.750
0.667 0.333 0.250
0.003 0.358 0.139
0.003 0.646 0.361
0.354 0.358 0.361
0.354 0.997 0.139
0.358 0.003 0.639
0.358 0.354 0.861
0.642 0.646 0.139
0.642 0.997 0.361
0.646 0.003 0.861
0.646 0.642 0.639
0.997 0.354 0.639
0.997 0.642 0.861